Entry 1:
Crystalline BaTaSe2S at its relaxed geometry, computed with PBE-GGA.

Output
For the formation energy without anion corrections, the calculation gives -1.240 eV per atom. The energy above the most stable polymorph in this dataset comes out at 0 meV per atom. The calculation puts the spin magnetization at 0.000 μB per atom. Its crystal system is tetragonal. The value obtained for the final energy is -6.215 eV per atom.

Cell lengths 5.174, 5.174, 4.817 Å; angles 90.00, 90.00, 90.00 degrees
Space group P4/mmm (No. 123)
Symmetry-distinct sites (fractional):
Ba 0.000 0.000 0.000 [1 per cell]
Ta 0.500 0.500 0.500 [1 per cell]
Se 0.000 0.500 0.500 [2 per cell]
S 0.500 0.500 0.000 [1 per cell]

Entry 2:
Crystalline Pr3Tl3SbS8 at its relaxed geometry, computed with PBE-GGA.

Output
For the formation energy without anion corrections, the calculation gives -1.161 eV per atom. The calculation puts the spin magnetization at 0.000 μB per atom. Its crystal system is trigonal. The value obtained for the final energy is -5.066 eV per atom.

Cell lengths 8.2894, 8.2894, 22.7714 Å; angles 90.00, 90.00, 120.00 degrees
Space group R-3m (No. 166, hexagonal axes)
Symmetry-distinct sites (fractional):
Pr 0.0000 0.5000 0.0000 [9 per cell]
Tl 0.0000 0.5000 0.5000 [9 per cell]
Sb 0.0000 0.0000 0.0000 [3 per cell]
S 0.0000 0.0000 0.2648 [6 per cell]
S 0.0232 0.5116 0.7314 [18 per cell]

Entry 3:
Crystalline LiCaGa2Au2 at its relaxed geometry, computed with PBE-GGA.

Output
The calculation puts the spin magnetization at 0.000 μB per atom. Its crystal system is trigonal. The calculation puts the formation energy at -609 meV per atom. The value obtained for the final energy is -3.363 eV per atom.

Cell lengths 4.5237, 4.5237, 6.6538 Å; angles 90.00, 90.00, 120.00 degrees
Space group P-3m1 (No. 164)
Symmetry-distinct sites (fractional):
Li 0.0000 0.0000 0.0000 [1 per cell]
Ca 0.0000 0.0000 0.5000 [1 per cell]
Ga 0.3333 0.6667 0.1963 [2 per cell]
Au 0.3333 0.6667 0.7855 [2 per cell]

Entry 4:
Crystalline SmH4Pd2Rh at its relaxed geometry, computed with PBE-GGA.

Output
The calculation puts the spin magnetization at 0.000 μB per atom. Its crystal system is tetragonal. The value obtained for the final energy is -4.887 eV per atom.

Cell lengths 5.226, 5.226, 6.168 Å; angles 90.00, 90.00, 90.00 degrees
Space group I-42m (No. 121)
Symmetry-distinct sites (fractional):
Sm 0.000 0.000 0.000 [2 per cell]
H 0.193 0.193 0.673 [8 per cell]
Pd 0.000 0.500 0.250 [4 per cell]
Rh 0.000 0.000 0.500 [2 per cell]

Entry 5:
Crystalline CdFeN3 at its relaxed geometry, computed with PBE-GGA.

Output
For the formation energy without anion corrections, the calculation gives 1.240 eV per atom. The calculation puts the spin magnetization at 0.000 μB per atom. Its crystal system is cubic. The value obtained for the final energy is -5.631 eV per atom.

Cell lengths 3.732, 3.732, 3.732 Å; angles 90.00, 90.00, 90.00 degrees
Space group Pm-3m (No. 221)
Symmetry-distinct sites (fractional):
Cd 0.000 0.000 0.000 [1 per cell]
Fe 0.500 0.500 0.500 [1 per cell]
N 0.000 0.500 0.500 [3 per cell]

Entry 6:
Crystalline SbAsPt2 at its relaxed geometry, computed with PBE-GGA.

Output
For the formation energy without anion corrections, the calculation gives -0.232 eV per atom. The energy above the most stable polymorph in this dataset comes out at 124 meV per atom. The calculation puts the spin magnetization at 0.000 μB per atom. Its crystal system is monoclinic. The value obtained for the final energy is -5.445 eV per atom.

Cell lengths 6.643, 3.792, 6.580 Å; angles 90.00, 109.32, 90.00 degrees
Space group C2/m (No. 12)
Symmetry-distinct sites (fractional):
Sb 0.000 0.000 0.000 [2 per cell]
As 0.000 0.500 0.500 [2 per cell]
Pt 0.242 0.000 0.726 [4 per cell]

Entry 7:
Crystalline MgCd2Fe at its relaxed geometry, computed with PBE-GGA.

Output
The calculation puts the spin magnetization at 0.597 μB per atom. Its crystal system is orthorhombic. The calculation puts the formation energy at 204 meV per atom. The value obtained for the final energy is -2.768 eV per atom.

Cell lengths 3.092, 4.826, 9.936 Å; angles 90.00, 90.00, 90.00 degrees
Space group Imm2 (No. 44)
Symmetry-distinct sites (fractional):
Mg 0.000 0.000 0.000 [2 per cell]
Cd 0.000 0.000 0.545 [2 per cell]
Cd 0.000 0.500 0.776 [2 per cell]
Fe 0.000 0.500 0.273 [2 per cell]

Entry 8:
Crystalline AgPb at its relaxed geometry, computed with PBE-GGA.

Output
The calculation puts the spin magnetization at 0.000 μB per atom. Its crystal system is cubic. The calculation puts the formation energy at 124 meV per atom. The value obtained for the final energy is -3.156 eV per atom.

Cell lengths 5.836, 5.836, 5.836 Å; angles 90.00, 90.00, 90.00 degrees
Space group P2_13 (No. 198)
Symmetry-distinct sites (fractional):
Ag 0.095 0.405 0.595 [4 per cell]
Pb 0.097 0.903 0.403 [4 per cell]

Entry 9:
Crystalline CaPtS at its relaxed geometry, computed with PBE-GGA.

Output
For the formation energy without anion corrections, the calculation gives -1.094 eV per atom. The calculation puts the spin magnetization at 0.000 μB per atom. Its crystal system is triclinic. The value obtained for the final energy is -5.150 eV per atom.

Cell lengths 4.361, 5.499, 5.750 Å; angles 88.19, 88.49, 72.06 degrees
Space group P1 (No. 1)
Symmetry-distinct sites (fractional):
Ca 0.000 0.000 0.000 [1 per cell]
Ca 0.197 0.426 0.472 [1 per cell]
Pt 0.663 0.606 0.820 [1 per cell]
Pt 0.835 0.998 0.505 [1 per cell]
S 0.192 0.445 0.983 [1 per cell]
S 0.385 0.874 0.504 [1 per cell]

Entry 10:
Crystalline CoNiP2S6 at its relaxed geometry, computed with PBE-GGA.

Output
For the formation energy without anion corrections, the calculation gives -0.223 eV per atom. The calculation puts the spin magnetization at 0.101 μB per atom. Its crystal system is monoclinic. The value obtained for the final energy is -5.070 eV per atom.

Cell lengths 5.792, 10.031, 7.274 Å; angles 90.00, 105.82, 90.00 degrees
Space group C2 (No. 5)
Symmetry-distinct sites (fractional):
Co 0.000 0.000 0.000 [2 per cell]
Ni 0.000 0.666 0.000 [2 per cell]
P 0.054 0.333 0.156 [4 per cell]
S 0.221 0.839 0.209 [4 per cell]
S 0.238 0.155 0.209 [4 per cell]
S 0.244 0.006 0.792 [4 per cell]

Entry 11:
Crystalline Ce4BiSb2 at its relaxed geometry, computed with PBE-GGA.

Output
For the formation energy without anion corrections, the calculation gives -0.837 eV per atom. The calculation puts the spin magnetization at 0.889 μB per atom. Its crystal system is tetragonal. The value obtained for the final energy is -5.960 eV per atom.

Cell lengths 9.528, 9.528, 9.566 Å; angles 90.00, 90.00, 90.00 degrees
Space group I-42d (No. 122)
Symmetry-distinct sites (fractional):
Ce 0.076 0.172 0.306 [16 per cell]
Bi 0.000 0.000 0.000 [4 per cell]
Sb 0.128 0.250 0.625 [8 per cell]

Entry 12:
Crystalline AcInAg2F8 at its relaxed geometry, computed with PBE-GGA.

Output
For the formation energy without anion corrections, the calculation gives -2.524 eV per atom. The calculation puts the spin magnetization at 0.000 μB per atom. Its crystal system is monoclinic. The value obtained for the final energy is -4.817 eV per atom.

Cell lengths 4.233, 7.825, 5.855 Å; angles 90.00, 94.45, 90.00 degrees
Space group P2/m (No. 10)
Symmetry-distinct sites (fractional):
Ac 0.000 0.000 0.000 [1 per cell]
In 0.000 0.500 0.000 [1 per cell]
Ag 0.500 0.270 0.500 [2 per cell]
F 0.059 0.277 0.784 [4 per cell]
F 0.429 0.500 0.211 [2 per cell]
F 0.492 0.000 0.761 [2 per cell]

Entry 13:
Crystalline NpTlSe4 at its relaxed geometry, computed with PBE-GGA.

Output
For the formation energy without anion corrections, the calculation gives -0.627 eV per atom. The energy above the most stable polymorph in this dataset comes out at 0 meV per atom. The calculation puts the spin magnetization at 0.669 μB per atom. Its crystal system is tetragonal. The value obtained for the final energy is -5.501 eV per atom.

Cell lengths 6.262, 6.262, 8.404 Å; angles 90.00, 90.00, 90.00 degrees
Space group P4/nbm (No. 125, origin choice 2)
Symmetry-distinct sites (fractional):
Np 0.250 0.250 0.000 [2 per cell]
Tl 0.250 0.250 0.500 [2 per cell]
Se 0.110 0.610 0.204 [8 per cell]

Entry 14:
Crystalline Sn2HgRhI at its relaxed geometry, computed with PBE-GGA.

Output
For the formation energy without anion corrections, the calculation gives 0.819 eV per atom. The energy above the most stable polymorph in this dataset comes out at 1017 meV per atom. The calculation puts the spin magnetization at 0.000 μB per atom. Its crystal system is tetragonal. The value obtained for the final energy is -2.623 eV per atom.

Cell lengths 5.982, 5.982, 4.862 Å; angles 90.00, 90.00, 90.00 degrees
Space group P4/mmm (No. 123)
Symmetry-distinct sites (fractional):
Sn 0.000 0.500 0.000 [2 per cell]
Hg 0.000 0.000 0.500 [1 per cell]
Rh 0.500 0.500 0.500 [1 per cell]
I 0.500 0.500 0.000 [1 per cell]

Entry 15:
Crystalline Pm4Nd7In at its relaxed geometry, computed with PBE-GGA.

Output
The energy above the most stable polymorph in this dataset comes out at 108 meV per atom. The calculation puts the spin magnetization at 0.000 μB per atom. Its crystal system is monoclinic. The calculation puts the formation energy at 121 meV per atom. The value obtained for the final energy is -4.472 eV per atom.

Cell lengths 16.788, 6.072, 9.403 Å; angles 90.00, 117.41, 90.00 degrees
Space group C2/m (No. 12)
Symmetry-distinct sites (fractional):
Pm 0.079 0.000 0.194 [4 per cell]
Pm 0.180 0.000 0.899 [4 per cell]
Nd 0.000 0.000 0.500 [2 per cell]
Nd 0.073 0.500 0.912 [4 per cell]
Nd 0.203 0.500 0.712 [4 per cell]
Nd 0.212 0.500 0.370 [4 per cell]
In 0.000 0.500 0.500 [2 per cell]

Entry 16:
Crystalline Rb2SrVI6 at its relaxed geometry, computed with PBE-GGA.

Output
For the formation energy without anion corrections, the calculation gives -1.173 eV per atom. The calculation puts the spin magnetization at 0.300 μB per atom. Its crystal system is cubic. The value obtained for the final energy is -3.377 eV per atom.

Cell lengths 12.135, 12.135, 12.135 Å; angles 90.00, 90.00, 90.00 degrees
Space group Fm-3m (No. 225)
Symmetry-distinct sites (fractional):
Rb 0.250 0.250 0.250 [8 per cell]
Sr 0.000 0.000 0.000 [4 per cell]
V 0.000 0.000 0.500 [4 per cell]
I 0.000 0.000 0.265 [24 per cell]

Entry 17:
Crystalline Tb2O3 at its relaxed geometry, computed with PBE-GGA.

Output
For the formation energy without anion corrections, the calculation gives -3.526 eV per atom. The calculation puts the spin magnetization at 0.000 μB per atom. Its crystal system is monoclinic. The value obtained for the final energy is -8.353 eV per atom.

Cell lengths 14.133, 3.534, 8.715 Å; angles 90.00, 100.31, 90.00 degrees
Space group C2/m (No. 12)
Symmetry-distinct sites (fractional):
Tb 0.033 0.000 0.313 [4 per cell]
Tb 0.135 0.500 0.988 [4 per cell]
Tb 0.191 0.500 0.637 [4 per cell]
O 0.000 0.500 0.500 [2 per cell]
O 0.029 0.500 0.157 [4 per cell]
O 0.128 0.000 0.782 [4 per cell]
O 0.175 0.000 0.470 [4 per cell]
O 0.206 0.000 0.123 [4 per cell]

Entry 18:
Crystalline Tl4Bi at its relaxed geometry, computed with PBE-GGA.

Output
The energy above the most stable polymorph in this dataset comes out at 406 meV per atom. The calculation puts the spin magnetization at 0.000 μB per atom. Its crystal system is cubic. The calculation puts the formation energy at 403 meV per atom. The value obtained for the final energy is -2.266 eV per atom.

Cell lengths 6.172, 6.172, 6.172 Å; angles 90.00, 90.00, 90.00 degrees
Space group Pm-3m (No. 221)
Symmetry-distinct sites (fractional):
Tl 0.000 0.000 0.000 [1 per cell]
Tl 0.000 0.500 0.500 [3 per cell]
Bi 0.500 0.500 0.500 [1 per cell]

Entry 19:
Crystalline LiB3As at its relaxed geometry, computed with PBE-GGA.

Output
The energy above the most stable polymorph in this dataset comes out at 0 meV per atom. The calculation puts the spin magnetization at 0.000 μB per atom. Its crystal system is cubic. The calculation puts the formation energy at 1706 meV per atom. The value obtained for the final energy is -3.613 eV per atom.

Cell lengths 4.175, 4.175, 4.175 Å; angles 90.00, 90.00, 90.00 degrees
Space group Pm-3m (No. 221)
Symmetry-distinct sites (fractional):
Li 0.000 0.000 0.000 [1 per cell]
B 0.000 0.500 0.500 [3 per cell]
As 0.500 0.500 0.500 [1 per cell]

Entry 20:
Crystalline Tc2AgF11 at its relaxed geometry, computed with PBE-GGA.

Output
For the formation energy without anion corrections, the calculation gives -1.887 eV per atom. The calculation puts the spin magnetization at 0.286 μB per atom. Its crystal system is orthorhombic. The value obtained for the final energy is -5.042 eV per atom.

Cell lengths 9.233, 9.261, 10.571 Å; angles 90.00, 90.00, 90.00 degrees
Space group Ibam (No. 72)
Symmetry-distinct sites (fractional):
Tc 0.156 0.157 0.000 [8 per cell]
Ag 0.000 0.500 0.250 [4 per cell]
F 0.000 0.000 0.000 [4 per cell]
F 0.052 0.259 0.127 [16 per cell]
F 0.203 0.200 0.500 [8 per cell]
F 0.241 0.445 0.373 [16 per cell]

Entry 21:
Crystalline KCr2Hg2 at its relaxed geometry, computed with PBE-GGA.

Output
The energy above the most stable polymorph in this dataset comes out at 0 meV per atom. The calculation puts the spin magnetization at 0.000 μB per atom. Its crystal system is tetragonal. The calculation puts the formation energy at 536 meV per atom. The value obtained for the final energy is -3.654 eV per atom.

Cell lengths 3.217, 3.217, 21.167 Å; angles 90.00, 90.00, 90.00 degrees
Space group I4/mmm (No. 139)
Symmetry-distinct sites (fractional):
K 0.000 0.000 0.000 [2 per cell]
Cr 0.000 0.500 0.250 [4 per cell]
Hg 0.000 0.000 0.369 [4 per cell]

Entry 22:
Crystalline ZrReAu at its relaxed geometry, computed with PBE-GGA.

Output
The energy above the most stable polymorph in this dataset comes out at 568 meV per atom. The calculation puts the spin magnetization at 0.437 μB per atom. Its crystal system is cubic. The calculation puts the formation energy at 650 meV per atom. The value obtained for the final energy is -7.441 eV per atom.

Cell lengths 6.364, 6.364, 6.364 Å; angles 90.00, 90.00, 90.00 degrees
Space group F-43m (No. 216)
Symmetry-distinct sites (fractional):
Zr 0.000 0.000 0.000 [4 per cell]
Re 0.250 0.250 0.750 [4 per cell]
Au 0.000 0.000 0.500 [4 per cell]

Entry 23:
Crystalline Ta2TiGe at its relaxed geometry, computed with PBE-GGA.

Output
The calculation puts the spin magnetization at 0.000 μB per atom. Its crystal system is orthorhombic. The calculation puts the formation energy at -258 meV per atom. The value obtained for the final energy is -9.312 eV per atom.

Cell lengths 3.471, 9.788, 8.260 Å; angles 90.00, 90.00, 90.00 degrees
Space group Cmcm (No. 63)
Symmetry-distinct sites (fractional):
Ta 0.000 0.137 0.041 [8 per cell]
Ti 0.000 0.449 0.250 [4 per cell]
Ge 0.000 0.264 0.750 [4 per cell]